[1]
! Cu3SiTc meta-GGA SCAN single point on PBEsol structure; values from VASP
! **Density of states at the Fermi level**: 0.7846 states/eV per atom
! **Crystal system**: cubic
! **Total magnetization**: 0.2755 μB/atom
! **ΔE_f (raw)**: 1726 meV/atom
&SYSTEM
  ibrav = 0, nat = 5, ntyp = 3
/
ATOMIC_SPECIES
Cu 63.55 Cu.upf
Si 28.09 Si.upf
Tc 98.00 Tc.upf
ATOMIC_POSITIONS crystal
Cu 0.000 0.000 0.500
Cu 0.000 0.500 0.000
Cu 0.500 0.000 0.000
Si 0.500 0.500 0.500
Tc 0.000 0.000 0.000
CELL_PARAMETERS angstrom
4.521 0.000 0.000
0.000 4.521 0.000
0.000 0.000 4.521

=====

[2]
! CuSi2Tc meta-GGA SCAN single point on PBEsol structure; values from VASP
! **Density of states at the Fermi level**: 0.3055 states/eV per atom
! **Crystal system**: orthorhombic
! **Total magnetization**: 0.0000 μB/atom
! **ΔE_f (raw)**: -94 meV/atom
&SYSTEM
  ibrav = 0, nat = 4, ntyp = 3
/
ATOMIC_SPECIES
Cu 63.55 Cu.upf
Si 28.09 Si.upf
Tc 98.00 Tc.upf
ATOMIC_POSITIONS crystal
Cu 0.000 0.000 0.000
Si 0.239 0.739 0.500
Si 0.761 0.261 0.500
Tc 0.500 0.500 0.000
CELL_PARAMETERS angstrom
-1.716 2.016 3.613
1.716 -2.016 3.613
1.716 2.016 -3.613

=====

[3]
! CuSiTc meta-GGA SCAN single point on PBEsol structure; values from VASP
! **Density of states at the Fermi level**: 0.4412 states/eV per atom
! **Crystal system**: trigonal
! **Total magnetization**: 0.0000 μB/atom
! **ΔE_f (raw)**: -138 meV/atom
&SYSTEM
  ibrav = 0, nat = 3, ntyp = 3
/
ATOMIC_SPECIES
Cu 63.55 Cu.upf
Si 28.09 Si.upf
Tc 98.00 Tc.upf
ATOMIC_POSITIONS crystal
Cu 0.000 0.000 0.000
Si 0.333 0.667 0.998
Tc 0.667 0.333 0.500
CELL_PARAMETERS angstrom
4.036 0.000 0.000
-2.018 3.495 0.000
0.000 0.000 2.628

=====

[4]
! Cu2Si2Te meta-GGA SCAN single point on PBEsol structure; values from VASP
! **Density of states at the Fermi level**: 0.4505 states/eV per atom
! **Crystal system**: tetragonal
! **Total magnetization**: 0.0000 μB/atom
! **ΔE_f (raw)**: 292 meV/atom
&SYSTEM
  ibrav = 0, nat = 5, ntyp = 3
/
ATOMIC_SPECIES
Cu 63.55 Cu.upf
Si 28.09 Si.upf
Te 127.60 Te.upf
ATOMIC_POSITIONS crystal
Cu 0.111 0.111 0.000
Cu 0.889 0.889 0.000
Si 0.250 0.750 0.500
Si 0.750 0.250 0.500
Te 0.500 0.500 0.000
CELL_PARAMETERS angstrom
-1.871 1.871 5.642
1.871 -1.871 5.642
1.871 1.871 -5.642